# 1
Below is a relaxed Mg2ScI crystal, with properties calculated at the PBE level.

Cell and atoms, written as extended XYZ:
```
8
Lattice="-4.274 4.274 3.021 4.274 -4.274 3.021 4.274 4.274 -3.021" Properties=species:S:1:pos:R:3 pbc="T T T"
Mg 2.137 2.063 -0.755
Mg 2.211 -2.137 3.777
Mg 2.137 2.211 2.266
Mg 2.063 6.411 0.755
Sc 4.274 0.000 1.511
Sc 0.000 0.000 3.021
I 0.000 0.000 0.000
I 0.000 4.274 1.511
```

Properties
Its density of states at the Fermi level is 8.0 states/eV per cell. The theoretical density comes out at 3.32 Mg/m³. For the energy relative to the elements, uncorrected, the calculation gives 0.083 eV/atom. The distance to the lowest polymorph of the same formula is 0.000 eV/atom.


# 2
Below is a relaxed MgScI3 crystal, with properties calculated at the PBE level.

Cell and atoms, written as extended XYZ:
```
5
Lattice="5.683 0.000 0.000 0.000 5.683 0.000 0.000 0.000 5.683" Properties=species:S:1:pos:R:3 pbc="T T T"
Mg 0.000 0.000 0.000
Sc 2.841 2.841 2.841
I 0.000 0.000 2.841
I 0.000 2.841 0.000
I 2.841 0.000 0.000
```

Properties
Its density of states at the Fermi level is 10.3 states/eV per cell. The theoretical density comes out at 4.07 Mg/m³. For the energy relative to the elements, uncorrected, the calculation gives -0.273 eV/atom. The distance to the lowest polymorph of the same formula is 0.334 eV/atom.


# 3
Below is a relaxed Mg2ScI crystal, with properties calculated at the PBE level.

Cell and atoms, written as extended XYZ:
```
4
Lattice="0.000 3.808 3.808 3.808 0.000 3.808 3.808 3.808 0.000" Properties=species:S:1:pos:R:3 pbc="T T T"
Mg 1.904 1.904 1.904
Mg 5.712 5.712 5.712
Sc 0.000 0.000 0.000
I 3.808 3.808 3.808
```

Properties
Its density of states at the Fermi level is 3.6 states/eV per cell. The theoretical density comes out at 3.31 Mg/m³. For the energy relative to the elements, uncorrected, the calculation gives 0.341 eV/atom. The distance to the lowest polymorph of the same formula is 0.258 eV/atom.


# 4
Below is a relaxed MgSc2I6 crystal, with properties calculated at the PBE level.

Cell and atoms, written as extended XYZ:
```
9
Lattice="8.300 -2.054 0.000 8.300 2.054 0.000 -4.794 0.000 10.093" Properties=species:S:1:pos:R:3 pbc="T T T"
Mg 0.000 0.000 0.000
Sc 2.192 0.000 6.444
Sc 9.614 0.000 3.649
I -0.733 0.000 2.860
I 3.447 0.000 3.807
I 1.526 0.000 9.474
I 10.280 0.000 0.619
I 8.359 0.000 6.286
I 12.538 0.000 7.233
```

Properties
Its density of states at the Fermi level is 2.3 states/eV per cell. The theoretical density comes out at 4.23 Mg/m³. For the energy relative to the elements, uncorrected, the calculation gives -1.090 eV/atom.


# 5
Below is a relaxed MgScI5 crystal, with properties calculated at the PBE level.

Cell and atoms, written as extended XYZ:
```
14
Lattice="8.510 0.000 0.000 0.000 4.124 0.000 -1.782 0.000 18.658" Properties=species:S:1:pos:R:3 pbc="T T T"
Mg 1.195 1.031 1.245
Mg 5.532 3.093 17.414
Sc 2.499 3.093 7.429
Sc 4.229 1.031 11.229
I 0.134 3.093 6.177
I -0.817 1.031 17.062
I 1.652 1.031 9.413
I 2.978 3.093 1.898
I 2.891 3.093 12.730
I 3.836 1.031 5.928
I 3.750 1.031 16.761
I 5.076 3.093 9.245
I 7.545 3.093 1.597
I 6.594 1.031 12.481
```

Properties
The theoretical density comes out at 3.57 Mg/m³. For the energy relative to the elements, uncorrected, the calculation gives -1.099 eV/atom.


# 6
Below is a relaxed MgScI3 crystal, with properties calculated at the PBE level.

Cell and atoms, written as extended XYZ:
```
5
Lattice="5.781 0.000 0.000 0.000 5.781 0.000 0.000 0.000 5.781" Properties=species:S:1:pos:R:3 pbc="T T T"
Mg 0.000 0.000 0.000
Sc 2.891 2.891 2.891
I 0.000 2.891 2.891
I 2.891 0.000 2.891
I 2.891 2.891 0.000
```

Properties
Its density of states at the Fermi level is 3.8 states/eV per cell. The theoretical density comes out at 3.87 Mg/m³. For the energy relative to the elements, uncorrected, the calculation gives -0.608 eV/atom. The distance to the lowest polymorph of the same formula is 0.000 eV/atom.


# 7
Below is a relaxed MgScI4 crystal, with properties calculated at the PBE level.

Cell and atoms, written as extended XYZ:
```
6
Lattice="7.446 0.000 0.000 0.000 4.141 0.000 -0.049 0.000 7.632" Properties=species:S:1:pos:R:3 pbc="T T T"
Mg 0.000 0.000 0.000
Sc 3.723 2.070 0.000
I 1.267 2.070 1.670
I 2.383 0.000 5.925
I 5.014 0.000 1.707
I 6.130 2.070 5.962
```

Properties
Its density of states at the Fermi level is 3.1 states/eV per cell. The theoretical density comes out at 4.07 Mg/m³. For the energy relative to the elements, uncorrected, the calculation gives -1.047 eV/atom. The distance to the lowest polymorph of the same formula is 0.000 eV/atom.


# 8
Below is a relaxed Mg2ScI6 crystal, with properties calculated at the PBE level.

Cell and atoms, written as extended XYZ:
```
9
Lattice="8.299 -2.080 0.000 8.299 2.080 0.000 -4.308 0.000 10.369" Properties=species:S:1:pos:R:3 pbc="T T T"
Mg 1.354 0.000 3.478
Mg 10.937 0.000 6.891
Sc 8.299 0.000 0.000
I 2.058 0.000 0.591
I 0.636 0.000 6.347
I 4.646 0.000 7.461
I 7.645 0.000 2.908
I 11.655 0.000 4.022
I 10.233 0.000 9.778
```

Properties
Its density of states at the Fermi level is 2.5 states/eV per cell. The theoretical density comes out at 3.97 Mg/m³. For the energy relative to the elements, uncorrected, the calculation gives -1.045 eV/atom. The distance to the lowest polymorph of the same formula is 0.000 eV/atom.


Please write out number 7 again, unchanged.
Below is a relaxed MgScI4 crystal, with properties calculated at the PBE level.

Cell and atoms, written as extended XYZ:
```
6
Lattice="7.446 0.000 0.000 0.000 4.141 0.000 -0.049 0.000 7.632" Properties=species:S:1:pos:R:3 pbc="T T T"
Mg 0.000 0.000 0.000
Sc 3.723 2.070 0.000
I 1.267 2.070 1.670
I 2.383 0.000 5.925
I 5.014 0.000 1.707
I 6.130 2.070 5.962
```

Properties
Its density of states at the Fermi level is 3.1 states/eV per cell. The theoretical density comes out at 4.07 Mg/m³. For the energy relative to the elements, uncorrected, the calculation gives -1.047 eV/atom. The distance to the lowest polymorph of the same formula is 0.000 eV/atom.


Question: Which value of energy relative to the elements, uncorrected does entry 7 give?
Answer: -1.047 eV/atom


Question: Which of these has the lowest theoretical density?
Answer: number 3